[1]
Compound: CoRu2W
Source: Alexandria via LeMat-Bulk
Functional: PBE
Structure: relaxed

Calculated values
The final energy comes out at -9.602 eV/atom.

Unit cell a=4.594 b=4.594 c=4.594 alpha=130.55 beta=130.55 gamma=72.53
Atoms (fractional coordinates):
1 Co 0.000 0.000 0.000
2 Ru 0.250 0.750 0.500
3 Ru 0.750 0.250 0.500
4 W 0.500 0.500 0.000


[2]
Compound: CrAg2C2
Source: Alexandria via LeMat-Bulk
Functional: PBE
Structure: relaxed

Calculated values
The final energy comes out at -5.586 eV/atom.

Unit cell a=5.281 b=5.281 c=5.281 alpha=137.58 beta=137.58 gamma=61.55
Atoms (fractional coordinates):
1 Cr 0.000 0.000 0.000
2 Ag 0.250 0.750 0.500
3 Ag 0.750 0.250 0.500
4 C 0.426 0.426 0.000
5 C 0.574 0.574 0.000